Record 1
# LiNd4Pa3N8 (PBE, relaxed)
# **Uncorrected formation energy**: -1.42 eV/atom
# **Symmetry**: R-3m
# **E**: -138.80 eV for the cell shown
# **Theoretical density**: 9.08 g/cm³
data_LiNd4Pa3N8
_chemical_formula_sum 'Li1 Nd4 Pa3 N8'
_symmetry_space_group_name_H-M 'P 1'
_symmetry_Int_Tables_number 1
_symmetry_space_group_name_Hall 'P 1'
_cell_length_a 7.1297
_cell_length_b 7.1297
_cell_length_c 7.1297
_cell_angle_alpha 59.60
_cell_angle_beta 59.60
_cell_angle_gamma 59.60
loop_
_atom_site_label
_atom_site_fract_x
_atom_site_fract_y
_atom_site_fract_z
Li1 0.0000 0.0000 0.0000
Nd1 0.0000 0.0000 0.5000
Nd2 0.0000 0.5000 0.0000
Nd3 0.5000 0.0000 0.0000
Nd4 0.5000 0.5000 0.5000
Pa1 0.0000 0.5000 0.5000
Pa2 0.5000 0.0000 0.5000
Pa3 0.5000 0.5000 0.0000
N1 0.2523 0.2523 0.7161
N2 0.2523 0.7161 0.2523
N3 0.2618 0.2618 0.2618
N4 0.2839 0.7477 0.7477
N5 0.7161 0.2523 0.2523
N6 0.7382 0.7382 0.7382
N7 0.7477 0.2839 0.7477
N8 0.7477 0.7477 0.2839


Record 2
# SiPb2Br (PBE, relaxed)
# **Uncorrected formation energy**: 0.10 eV/atom
# **Symmetry**: P2/m
# **E**: -14.11 eV for the cell shown
# **Theoretical density**: 7.55 g/cm³
data_SiPb2Br
_chemical_formula_sum 'Si1 Pb2 Br1'
_symmetry_space_group_name_H-M 'P 1'
_symmetry_Int_Tables_number 1
_symmetry_space_group_name_Hall 'P 1'
_cell_length_a 5.2394
_cell_length_b 3.5270
_cell_length_c 6.2203
_cell_angle_alpha 90.00
_cell_angle_beta 90.15
_cell_angle_gamma 90.00
loop_
_atom_site_label
_atom_site_fract_x
_atom_site_fract_y
_atom_site_fract_z
Si1 0.0000 0.0000 0.0000
Pb1 0.0000 0.0000 0.5000
Pb2 0.5000 0.5000 0.0000
Br1 0.5000 0.5000 0.5000


Record 3
# CsTaV3 (PBE, relaxed)
# **ΔE_f**: 1.729 eV/atom
# **Symmetry**: Pm-3m
# **E**: -31.42 eV for the cell shown
# **Theoretical density**: 5.83 g/cm³
data_CsTaV3
_chemical_formula_sum 'Cs1 Ta1 V3'
_symmetry_space_group_name_H-M 'P 1'
_symmetry_Int_Tables_number 1
_symmetry_space_group_name_Hall 'P 1'
_cell_length_a 5.1031
_cell_length_b 5.1031
_cell_length_c 5.1031
_cell_angle_alpha 90.00
_cell_angle_beta 90.00
_cell_angle_gamma 90.00
loop_
_atom_site_label
_atom_site_fract_x
_atom_site_fract_y
_atom_site_fract_z
Cs1 0.0000 0.0000 0.0000
Ta1 0.5000 0.5000 0.5000
V1 0.0000 0.5000 0.5000
V2 0.5000 0.0000 0.5000
V3 0.5000 0.5000 0.0000


Record 4
# Zr2Pd2I (PBE, relaxed)
# **Uncorrected formation energy**: -0.37 eV/atom
# **Symmetry**: P4/mbm
# **E**: -61.81 eV for the cell shown
# **Theoretical density**: 8.11 g/cm³
data_Zr2Pd2I
_chemical_formula_sum 'Zr4 Pd4 I2'
_symmetry_space_group_name_H-M 'P 1'
_symmetry_Int_Tables_number 1
_symmetry_space_group_name_Hall 'P 1'
_cell_length_a 7.7888
_cell_length_b 7.7888
_cell_length_c 3.5241
_cell_angle_alpha 90.00
_cell_angle_beta 90.00
_cell_angle_gamma 90.00
loop_
_atom_site_label
_atom_site_fract_x
_atom_site_fract_y
_atom_site_fract_z
Zr1 0.1594 0.3406 0.0000
Zr2 0.3406 0.8406 0.0000
Zr3 0.6594 0.1594 0.0000
Zr4 0.8406 0.6594 0.0000
Pd1 0.1273 0.6273 0.5000
Pd2 0.3727 0.1273 0.5000
Pd3 0.6273 0.8727 0.5000
Pd4 0.8727 0.3727 0.5000
I1 0.0000 0.0000 0.0000
I2 0.5000 0.5000 0.0000


Record 5
# NbCo2Re (PBE, relaxed)
# **ΔE_f**: -0.058 eV/atom
# **Symmetry**: P4/mmm
# **E**: -36.96 eV for the cell shown
# **Theoretical density**: 12.33 g/cm³
data_NbCo2Re
_chemical_formula_sum 'Nb1 Co2 Re1'
_symmetry_space_group_name_H-M 'P 1'
_symmetry_Int_Tables_number 1
_symmetry_space_group_name_Hall 'P 1'
_cell_length_a 3.7947
_cell_length_b 3.7947
_cell_length_c 3.7116
_cell_angle_alpha 90.00
_cell_angle_beta 90.00
_cell_angle_gamma 90.00
loop_
_atom_site_label
_atom_site_fract_x
_atom_site_fract_y
_atom_site_fract_z
Nb1 0.0000 0.0000 0.0000
Co1 0.0000 0.5000 0.5000
Co2 0.5000 0.0000 0.5000
Re1 0.5000 0.5000 0.0000


Record 6
# As4Se3 (PBE, relaxed)
# **Uncorrected formation energy**: 0.56 eV/atom
# **Symmetry**: P6/mmm
# **E**: -25.14 eV for the cell shown
# **Theoretical density**: 4.80 g/cm³
data_As4Se3
_chemical_formula_sum 'As4 Se3'
_symmetry_space_group_name_H-M 'P 1'
_symmetry_Int_Tables_number 1
_symmetry_space_group_name_Hall 'P 1'
_cell_length_a 5.1154
_cell_length_b 5.1154
_cell_length_c 8.1953
_cell_angle_alpha 90.00
_cell_angle_beta 90.00
_cell_angle_gamma 120.00
loop_
_atom_site_label
_atom_site_fract_x
_atom_site_fract_y
_atom_site_fract_z
As1 0.0000 0.0000 0.1411
As2 0.0000 0.0000 0.8589
As3 0.3333 0.6667 0.0000
As4 0.6667 0.3333 0.0000
Se1 0.0000 0.5000 0.5000
Se2 0.5000 0.0000 0.5000
Se3 0.5000 0.5000 0.5000


Record 7
# Cs3KAg2Cl9 (PBE, relaxed)
# **Uncorrected formation energy**: -1.20 eV/atom
# **Symmetry**: P-3m1
# **E**: -44.04 eV for the cell shown
# **Theoretical density**: 3.42 g/cm³
data_Cs3KAg2Cl9
_chemical_formula_sum 'Cs3 K1 Ag2 Cl9'
_symmetry_space_group_name_H-M 'P 1'
_symmetry_Int_Tables_number 1
_symmetry_space_group_name_Hall 'P 1'
_cell_length_a 7.5395
_cell_length_b 7.5395
_cell_length_c 9.6031
_cell_angle_alpha 90.00
_cell_angle_beta 90.00
_cell_angle_gamma 120.00
loop_
_atom_site_label
_atom_site_fract_x
_atom_site_fract_y
_atom_site_fract_z
Cs1 0.0000 0.0000 0.0000
Cs2 0.3333 0.6667 0.6722
Cs3 0.6667 0.3333 0.3278
K1 0.0000 0.0000 0.5000
Ag1 0.3333 0.6667 0.1488
Ag2 0.6667 0.3333 0.8512
Cl1 0.0000 0.5000 0.0000
Cl2 0.1751 0.3503 0.2992
Cl3 0.1751 0.8249 0.2992
Cl4 0.3503 0.1751 0.7008
Cl5 0.5000 0.0000 0.0000
Cl6 0.5000 0.5000 0.0000
Cl7 0.6497 0.8249 0.2992
Cl8 0.8249 0.1751 0.7008
Cl9 0.8249 0.6497 0.7008


Record 8
# Zr2PaAl (PBE, relaxed)
# **ΔE_f**: -0.191 eV/atom
# **Symmetry**: P4/mmm
# **E**: -31.10 eV for the cell shown
# **Theoretical density**: 8.42 g/cm³
data_Zr2PaAl
_chemical_formula_sum 'Zr2 Pa1 Al1'
_symmetry_space_group_name_H-M 'P 1'
_symmetry_Int_Tables_number 1
_symmetry_space_group_name_Hall 'P 1'
_cell_length_a 4.6296
_cell_length_b 4.6296
_cell_length_c 4.0524
_cell_angle_alpha 90.00
_cell_angle_beta 90.00
_cell_angle_gamma 90.00
loop_
_atom_site_label
_atom_site_fract_x
_atom_site_fract_y
_atom_site_fract_z
Zr1 0.0000 0.5000 0.0000
Zr2 0.5000 0.0000 0.0000
Pa1 0.0000 0.0000 0.5000
Al1 0.5000 0.5000 0.5000


Record 9
# LiCdBi2As (PBE, relaxed)
# **ΔE_f**: 0.329 eV/atom
# **Symmetry**: P4/mmm
# **E**: -13.59 eV for the cell shown
# **Theoretical density**: 7.86 g/cm³
data_LiCdBi2As
_chemical_formula_sum 'Li1 Cd1 Bi2 As1'
_symmetry_space_group_name_H-M 'P 1'
_symmetry_Int_Tables_number 1
_symmetry_space_group_name_Hall 'P 1'
_cell_length_a 5.1736
_cell_length_b 5.1736
_cell_length_c 4.8344
_cell_angle_alpha 90.00
_cell_angle_beta 90.00
_cell_angle_gamma 90.00
loop_
_atom_site_label
_atom_site_fract_x
_atom_site_fract_y
_atom_site_fract_z
Li1 0.0000 0.0000 0.0000
Cd1 0.0000 0.0000 0.5000
Bi1 0.0000 0.5000 0.0000
Bi2 0.5000 0.0000 0.0000
As1 0.5000 0.5000 0.5000


Record 10
# HgOsCl6 (PBE, relaxed)
# **Uncorrected formation energy**: -0.47 eV/atom
# **Symmetry**: C2/c
# **E**: -52.82 eV for the cell shown
# **Theoretical density**: 3.68 g/cm³
data_HgOsCl6
_chemical_formula_sum 'Hg2 Os2 Cl12'
_symmetry_space_group_name_H-M 'P 1'
_symmetry_Int_Tables_number 1
_symmetry_space_group_name_Hall 'P 1'
_cell_length_a 6.8712
_cell_length_b 6.8712
_cell_length_c 12.7023
_cell_angle_alpha 100.18
_cell_angle_beta 100.18
_cell_angle_gamma 68.35
loop_
_atom_site_label
_atom_site_fract_x
_atom_site_fract_y
_atom_site_fract_z
Hg1 0.2457 0.7543 0.7500
Hg2 0.7543 0.2457 0.2500
Os1 0.0000 0.5000 0.5000
Os2 0.5000 0.0000 0.0000
Cl1 0.0465 0.7350 0.4086
Cl2 0.1228 0.2291 0.3598
Cl3 0.2291 0.1228 0.8598
Cl4 0.2650 0.9535 0.0914
Cl5 0.3416 0.4382 0.5932
Cl6 0.4382 0.3416 0.0932
Cl7 0.5618 0.6584 0.9068
Cl8 0.6584 0.5618 0.4068
Cl9 0.7350 0.0465 0.9086
Cl10 0.7709 0.8772 0.1402
Cl11 0.8772 0.7709 0.6402
Cl12 0.9535 0.2650 0.5914


Record 11
# Ba8Rh3I3O (PBE, relaxed)
# **Uncorrected formation energy**: -0.94 eV/atom
# **Symmetry**: C2/m
# **E**: -61.09 eV for the cell shown
# **Theoretical density**: 4.91 g/cm³
data_Ba8Rh3I3O
_chemical_formula_sum 'Ba8 Rh3 I3 O1'
_symmetry_space_group_name_H-M 'P 1'
_symmetry_Int_Tables_number 1
_symmetry_space_group_name_Hall 'P 1'
_cell_length_a 8.9453
_cell_length_b 8.9453
_cell_length_c 10.2146
_cell_angle_alpha 116.01
_cell_angle_beta 116.01
_cell_angle_gamma 59.96
loop_
_atom_site_label
_atom_site_fract_x
_atom_site_fract_y
_atom_site_fract_z
Ba1 0.2150 0.2150 0.6761
Ba2 0.2150 0.7462 0.6761
Ba3 0.2538 0.7850 0.3239
Ba4 0.2650 0.2650 0.2949
Ba5 0.7350 0.7350 0.7051
Ba6 0.7462 0.2150 0.6761
Ba7 0.7850 0.2538 0.3239
Ba8 0.7850 0.7850 0.3239
Rh1 0.0000 0.5000 0.5000
Rh2 0.5000 0.0000 0.5000
Rh3 0.5000 0.5000 0.5000
I1 0.0000 0.0000 0.0000
I2 0.0000 0.5000 0.0000
I3 0.5000 0.0000 0.0000
O1 0.0000 0.0000 0.5000


Record 12
# Hf3TaAl8 (PBE, relaxed)
# **ΔE_f**: -0.375 eV/atom
# **Symmetry**: R3m
# **E**: -76.16 eV for the cell shown
# **Theoretical density**: 7.62 g/cm³
data_Hf3TaAl8
_chemical_formula_sum 'Hf3 Ta1 Al8'
_symmetry_space_group_name_H-M 'P 1'
_symmetry_Int_Tables_number 1
_symmetry_space_group_name_Hall 'P 1'
_cell_length_a 9.0670
_cell_length_b 9.0670
_cell_length_c 9.0670
_cell_angle_alpha 33.57
_cell_angle_beta 33.57
_cell_angle_gamma 33.57
loop_
_atom_site_label
_atom_site_fract_x
_atom_site_fract_y
_atom_site_fract_z
Hf1 0.0000 0.0000 0.0000
Hf2 0.1272 0.1272 0.1272
Hf3 0.5029 0.5029 0.5029
Ta1 0.6268 0.6268 0.6268
Al1 0.0635 0.5637 0.5637
Al2 0.0644 0.0644 0.5648
Al3 0.0644 0.5648 0.0644
Al4 0.3139 0.3139 0.3139
Al5 0.5637 0.0635 0.5637
Al6 0.5637 0.5637 0.0635
Al7 0.5648 0.0644 0.0644
Al8 0.8143 0.8143 0.8143